Entry from the Alexandria database: a relaxed CrH2W crystal (PBE-GGA).

Structure (extended XYZ):
```
4
Lattice="0.000 2.573 2.573 2.573 0.000 2.573 2.573 2.573 0.000" Properties=species:S:1:pos:R:3 pbc="T T T"
Cr 0.000 0.000 0.000
H 1.287 1.287 1.287
H 3.860 3.860 3.860
W 2.573 2.573 2.573
```

D(E_F)	2.47	states/eV/f.u.
calculated density	11.59	g/cm³
E_tot	-6.53	eV per atom